The following is a DFT calculation (GGA+U) of an optimized crystal structure of BeCo2SnO.

abc: 3.9247 3.9247 4.5540
angles: 90.00 90.00 90.00
With the nearest neighbours (Å) after each atom.
Fractional positions:
Be1 0.0000 0.0000 0.0000  4 Co 1.96
Co1 0.0000 0.5000 0.0000  2 Be 1.96
Co2 0.5000 0.0000 0.0000  2 Be 1.96
Sn1 0.0000 0.0000 0.5000  2 Be 2.28
O1 0.5000 0.5000 0.5000  4 Sn 2.78, 8 Co 3.01

M_tot in μB per cell: 3.36
SG: P4/mmm, No. 123
VASP energy in eV for the cell shown: -18.99
Fermi-level density of states in states/eV/cell: 3.056